Record 1
The following is a DFT calculation (PBE) of CsK3Pb after structural relaxation.

a b c (Å): 6.9816 6.9816 6.9816
angles (deg): 90.00 90.00 90.00
With the nearest neighbours (Å) after each atom.
Sites, in units of the cell vectors:
Pb1 0.5000 0.5000 0.5000  12 K 4.94
K1 0.5000 0.0000 0.0000  2 Cs 3.49
K2 0.0000 0.5000 0.0000  2 Cs 3.49
K3 0.0000 0.0000 0.5000  2 Cs 3.49
Cs1 0.0000 0.0000 0.0000  6 K 3.49

Properties
- Crystal system: cubic
- D(E_F): 4.40 states/eV per cell
- Total moment: 0.00 μB per formula unit
- Polymorph energy (0 for the lowest one): 654.7 meV per atom
- E_form: 0.60 eV per atom

---

Record 2
The following is a DFT calculation (PBE) of Ca2NpTl2O6 after structural relaxation.

a b c (Å): 5.9925 5.9925 6.7956
angles (deg): 98.60 98.60 119.17
With the nearest neighbours (Å) after each atom.
Sites, in units of the cell vectors:
Ca1 0.6647 0.3353 0.5000  6 O 2.37-2.41
Ca2 0.3353 0.6647 0.5000  6 O 2.37-2.41
O1 0.0515 0.3503 0.6652  1 Np 2.08
O2 0.6497 0.9485 0.3348  1 Np 2.08
O3 0.3503 0.0515 0.6652  1 Np 2.08
O4 0.7667 0.7667 0.6762  1 Np 2.11
O5 0.9485 0.6497 0.3348  1 Np 2.08
O6 0.2333 0.2333 0.3238  1 Np 2.11
Np1 0.0000 0.0000 0.5000  6 O 2.08-2.11
Tl1 0.1684 0.8316 0.0000  6 O 2.83-3.09
Tl2 0.8316 0.1684 0.0000  6 O 2.83-3.09

Properties
- Crystal system: monoclinic
- Formation energy without anion corrections: -2.34 eV/atom
- Total moment: 1.00 μB per formula unit

---

Record 3
The following is a DFT calculation (PBE) of CrAgSe2 after structural relaxation.

a b c (Å): 4.7788 4.7788 4.7788
angles (deg): 60.00 60.00 60.00
With the nearest neighbours (Å) after each atom.
Sites, in units of the cell vectors:
Cr1 0.7500 0.7500 0.7500  4 Se 2.93, 4 Ag 2.93
Se1 0.2500 0.2500 0.2500  4 Ag 2.93, 4 Se 2.93
Se2 0.0000 0.0000 0.0000  4 Se 2.93, 4 Cr 2.93
Ag1 0.5000 0.5000 0.5000  4 Cr 2.93, 4 Se 2.93

Properties
- Crystal system: cubic
- Formation energy without anion corrections: 0.44 eV/atom
- D(E_F): 2.27 states/eV per cell
- Total moment: 3.33 μB per formula unit

---

Record 4
The following is a DFT calculation (PBE) of Ce6Ir2Pb after structural relaxation.

a b c (Å): 4.6209 5.8666 9.1646
angles (deg): 91.47 90.00 113.19
With the nearest neighbours (Å) after each atom.
Sites, in units of the cell vectors:
Ce1 0.7127 0.4254 0.5973  1 Ir 2.68
Ce2 0.0793 0.1585 0.8604  3 Ir 2.93-2.94, 3 Ce 2.97-3.12
Ce3 0.9207 0.8415 0.1396  3 Ir 2.93-2.94, 3 Ce 2.97-3.12
Ce4 0.4081 0.8162 0.8255  3 Ir 2.97-3.14, 2 Ce 2.97
Ce5 0.2873 0.5746 0.4027  1 Ir 2.68
Ce6 0.5919 0.1838 0.1745  3 Ir 2.97-3.14, 2 Ce 2.97
Pb1 0.0000 0.0000 0.5000  8 Ce 3.25-3.39
Ir1 0.2547 0.5094 0.1117  6 Ce 2.68-2.97
Ir2 0.7453 0.4906 0.8883  6 Ce 2.68-2.97

Properties
- Crystal system: monoclinic
- D(E_F): 20.73 states/eV per cell
- Total moment: 2.13 μB per formula unit
- E_form: -0.49 eV per atom

---

Record 5
The following is a DFT calculation (PBE) of SrSnP3 after structural relaxation.

a b c (Å): 5.1050 5.1050 5.1050
angles (deg): 90.00 90.00 90.00
With the nearest neighbours (Å) after each atom.
Sites, in units of the cell vectors:
Sn1 0.0000 0.0000 0.0000  6 P 2.55
P1 0.0000 0.5000 0.0000  2 Sn 2.55
P2 0.0000 0.0000 0.5000  2 Sn 2.55
P3 0.5000 0.0000 0.0000  2 Sn 2.55
Sr1 0.5000 0.5000 0.5000  12 P 3.61

Properties
- Crystal system: cubic
- D(E_F): 5.54 states/eV per cell
- Total moment: 0.00 μB per formula unit
- Polymorph energy (0 for the lowest one): 0.0 meV per atom
- E_form: 0.27 eV per atom

---

Record 6
The following is a DFT calculation (PBE) of NaLa2Cu after structural relaxation.

a b c (Å): 3.6703 3.6703 11.7365
angles (deg): 81.00 81.00 60.00
With the nearest neighbours (Å) after each atom.
Sites, in units of the cell vectors:
La1 0.8933 0.8933 0.3200  3 Cu 2.97
La2 0.1067 0.1067 0.6800  3 Cu 2.97
Na1 0.0000 0.0000 0.0000  6 Na 3.67, 2 La 3.69
Cu1 0.5000 0.5000 0.5000  6 La 2.97

Properties
- Crystal system: trigonal
- D(E_F): 4.20 states/eV per cell
- Total moment: 0.00 μB per formula unit
- Polymorph energy (0 for the lowest one): 134.1 meV per atom
- E_form: 0.16 eV per atom

---

Record 7
The following is a DFT calculation (PBE) of Zn2CdTc after structural relaxation.

a b c (Å): 2.7752 2.7752 9.0826
angles (deg): 90.00 90.00 111.84
With the nearest neighbours (Å) after each atom.
Sites, in units of the cell vectors:
Zn1 0.5000 0.5000 0.2326  6 Zn 2.63-2.78, 2 Cd 2.89
Zn2 0.0000 0.0000 0.9988  2 Tc 2.61, 6 Zn 2.63-2.78
Cd1 0.0000 0.0000 0.5013  4 Cd 2.78, 2 Tc 2.87, 2 Zn 2.89
Tc1 0.5000 0.5000 0.7674  2 Zn 2.61, 4 Tc 2.78, 2 Cd 2.87

Properties
- Crystal system: orthorhombic
- D(E_F): 2.31 states/eV per cell
- Total moment: 0.00 μB per formula unit
- E_form: 0.25 eV per atom

---

Record 8
The following is a DFT calculation (PBE) of LaYSi2 after structural relaxation.

a b c (Å): 5.1277 5.1277 5.1277
angles (deg): 60.00 60.00 60.00
With the nearest neighbours (Å) after each atom.
Sites, in units of the cell vectors:
La1 0.5000 0.5000 0.5000  8 Si 3.14
Si1 0.7500 0.7500 0.7500  4 La 3.14, 4 Y 3.14
Si2 0.2500 0.2500 0.2500  4 La 3.14, 4 Y 3.14
Y1 0.0000 0.0000 0.0000  8 Si 3.14

Properties
- Crystal system: cubic
- Formation energy without anion corrections: -0.43 eV/atom
- D(E_F): 4.90 states/eV per cell
- Total moment: 0.00 μB per formula unit
- Polymorph energy (0 for the lowest one): 340.6 meV per atom

---

Record 9
The following is a DFT calculation (PBE) of Cs6HAu2Br3 after structural relaxation.

a b c (Å): 8.8958 8.8958 8.9013
angles (deg): 99.62 99.62 119.98
With the nearest neighbours (Å) after each atom.
Sites, in units of the cell vectors:
Br1 0.8298 0.1702 0.5000  6 Cs 3.61-3.75
Br2 0.1702 0.8298 0.5000  6 Cs 3.61-3.75
Br3 0.5000 0.5000 0.5000  6 Cs 3.61-3.83
Cs1 0.3968 0.0808 0.2427  1 H 3.47, 3 Br 3.61-3.75, 2 Au 3.67
Cs2 0.2334 0.2334 0.7599  1 H 3.44, 3 Br 3.65-3.83, 2 Au 3.66
Cs3 0.0808 0.3968 0.2427  1 H 3.47, 3 Br 3.61-3.75, 2 Au 3.67
Cs4 0.9192 0.6032 0.7573  1 H 3.47, 3 Br 3.61-3.75, 2 Au 3.67
Cs5 0.6032 0.9192 0.7573  1 H 3.47, 3 Br 3.61-3.75, 2 Au 3.67
Cs6 0.7666 0.7666 0.2401  1 H 3.44, 3 Br 3.65-3.83, 2 Au 3.66
Au1 0.3338 0.6662 0.0000  6 Cs 3.66-3.67
Au2 0.6662 0.3338 0.0000  6 Cs 3.66-3.67
H1 0.0000 0.0000 0.0000  6 Cs 3.44-3.47

Properties
- Crystal system: monoclinic
- D(E_F): 0.00 states/eV per cell
- Calculated total energy: -2.685 eV/atom
- Total moment: 0.07 μB per formula unit

---

Record 10
The following is a DFT calculation (PBE) of LiSiRu2 after structural relaxation.

a b c (Å): 6.9952 6.9952 5.5287
angles (deg): 50.76 50.76 90.00
With the nearest neighbours (Å) after each atom.
Sites, in units of the cell vectors:
Ru1 0.3750 0.3166 0.7500  2 Si 2.29
Ru2 0.8750 0.9334 0.7500  2 Si 2.29
Ru3 0.6834 0.1250 0.2500  2 Si 2.29
Ru4 0.0666 0.6250 0.2500  2 Si 2.29
Li1 0.2500 0.7500 0.5000  2 Si 2.47
Li2 0.5000 0.5000 0.0000  2 Si 2.47
Si1 0.7500 0.2500 0.5000  4 Ru 2.29, 2 Li 2.47
Si2 0.0000 0.0000 0.0000  4 Ru 2.29, 2 Li 2.47

Properties
- Crystal system: tetragonal
- Formation energy without anion corrections: 0.16 eV/atom
- D(E_F): 9.84 states/eV per cell
- Total moment: 0.44 μB per formula unit

---

Record 11
The following is a DFT calculation (PBE) of NaLa2CdF after structural relaxation.

a b c (Å): 5.2642 5.2642 4.6174
angles (deg): 90.00 90.00 90.00
With the nearest neighbours (Å) after each atom.
Sites, in units of the cell vectors:
Na1 0.0000 0.0000 0.5000  2 F 2.31
Cd1 0.5000 0.5000 0.5000  8 La 3.50, 4 Na 3.72
La1 0.0000 0.5000 0.0000  2 F 2.63
La2 0.5000 0.0000 0.0000  2 F 2.63
F1 0.0000 0.0000 0.0000  2 Na 2.31

Properties
- Crystal system: tetragonal
- Formation energy without anion corrections: -1.07 eV/atom
- D(E_F): 3.40 states/eV per cell
- Total moment: 0.00 μB per formula unit

---

Record 12
The following is a DFT calculation (PBE) of Pm4Mg3Pb after structural relaxation.

a b c (Å): 5.4669 5.4669 9.5131
angles (deg): 73.30 73.30 60.00
With the nearest neighbours (Å) after each atom.
Sites, in units of the cell vectors:
Mg1 0.7540 0.7540 0.7380  8 Pm 3.24-3.49
Mg2 0.5000 0.5000 0.5000  8 Pm 3.35
Mg3 0.2460 0.2460 0.2620  8 Pm 3.24-3.49
Pm1 0.6245 0.6245 0.1266  5 Mg 3.35-3.49, 3 Pb 3.35
Pm2 0.8745 0.8745 0.3765  7 Mg 3.24-3.35, 1 Pb 3.38
Pm3 0.1255 0.1255 0.6235  7 Mg 3.24-3.35, 1 Pb 3.38
Pm4 0.3755 0.3755 0.8734  5 Mg 3.35-3.49, 3 Pb 3.35
Pb1 0.0000 0.0000 0.0000  8 Pm 3.35-3.38

Properties
- Crystal system: trigonal
- D(E_F): 8.72 states/eV per cell
- Total moment: 0.00 μB per formula unit
- E_form: -0.23 eV per atom

---

total moment of number 12 (Pm4Mg3Pb)?
0.00 μB per formula unit